# 1
# BaMg2Hg, relaxed, DFT PBE
data_BaMg2Hg
_space_group_name_H-M_alt 'I -4 m 2'
_space_group_IT_number 119
_space_group_name_Hall 'I -4 -2'
_cell_length_a 5.4983
_cell_length_b 5.4983
_cell_length_c 7.8864
_cell_angle_alpha 90.00
_cell_angle_beta 90.00
_cell_angle_gamma 90.00
loop_
_atom_site_label
_atom_site_type_symbol
_atom_site_fract_x
_atom_site_fract_y
_atom_site_fract_z
Ba1 Ba 0.0000 0.0000 0.0000
Mg1 Mg 0.0000 0.0000 0.5000
Mg2 Mg 0.0000 0.5000 0.7500
Hg1 Hg 0.0000 0.5000 0.2500
# **Total magnetization**: 0.00 Bohr magnetons per cell
# **Energy relative to the elements**: -68 kJ/mol of formula units
# **Calculated density**: 5.38 Mg/m³

# 2
# Ba6MgHg5, relaxed, DFT PBE
data_Ba6MgHg5
_space_group_name_H-M_alt 'I m m m'
_space_group_IT_number 71
_space_group_name_Hall '-I 2 2'
_cell_length_a 5.9769
_cell_length_b 8.4582
_cell_length_c 17.9563
_cell_angle_alpha 90.00
_cell_angle_beta 90.00
_cell_angle_gamma 90.00
loop_
_atom_site_label
_atom_site_type_symbol
_atom_site_fract_x
_atom_site_fract_y
_atom_site_fract_z
Ba1 Ba 0.0000 0.2416 0.0000
Ba2 Ba 0.0000 0.2537 0.3304
Mg1 Mg 0.0000 0.0000 0.5000
Hg1 Hg 0.0000 0.0000 0.1670
Hg2 Hg 0.0000 0.5000 0.1579
Hg3 Hg 0.0000 0.5000 0.5000
# **Total magnetization**: 0.00 Bohr magnetons per cell
# **Energy relative to the elements**: -513 kJ/mol of formula units
# **Calculated density**: 6.77 Mg/m³

# 3
# Ba3Mg3Hg2, relaxed, DFT PBE
data_Ba3Mg3Hg2
_space_group_name_H-M_alt 'P n m a'
_space_group_IT_number 62
_space_group_name_Hall '-P 2ac 2n'
_cell_length_a 9.3168
_cell_length_b 18.2846
_cell_length_c 6.6883
_cell_angle_alpha 90.00
_cell_angle_beta 90.00
_cell_angle_gamma 90.00
loop_
_atom_site_label
_atom_site_type_symbol
_atom_site_fract_x
_atom_site_fract_y
_atom_site_fract_z
Ba1 Ba 0.0331 0.1068 0.1185
Ba2 Ba 0.1641 0.2500 0.6270
Mg1 Mg 0.1713 0.0343 0.6042
Mg2 Mg 0.1794 0.7500 0.6150
Hg1 Hg 0.1217 0.6053 0.3819
# **Total magnetization**: 0.00 Bohr magnetons per cell
# **Energy relative to the elements**: -196 kJ/mol of formula units
# **Calculated density**: 5.17 Mg/m³

# 4
# BaMgHg2, relaxed, DFT PBE
data_BaMgHg2
_space_group_name_H-M_alt 'C 1 2/m 1'
_space_group_IT_number 12
_space_group_name_Hall '-C 2y'
_cell_length_a 8.6882
_cell_length_b 5.0071
_cell_length_c 6.4451
_cell_angle_alpha 90.00
_cell_angle_beta 116.53
_cell_angle_gamma 90.00
loop_
_atom_site_label
_atom_site_type_symbol
_atom_site_fract_x
_atom_site_fract_y
_atom_site_fract_z
Ba1 Ba 0.0000 0.0000 0.0000
Mg1 Mg 0.0000 0.5000 0.5000
Hg1 Hg 0.2128 0.0000 0.6385
# **Total magnetization**: 0.00 Bohr magnetons per cell
# **Energy relative to the elements**: -144 kJ/mol of formula units
# **Calculated density**: 7.45 Mg/m³

# 5
# BaMg2Hg5, relaxed, DFT PBE
data_BaMg2Hg5
_space_group_name_H-M_alt 'I m m m'
_space_group_IT_number 71
_space_group_name_Hall '-I 2 2'
_cell_length_a 4.5524
_cell_length_b 7.7857
_cell_length_c 12.3243
_cell_angle_alpha 90.00
_cell_angle_beta 90.00
_cell_angle_gamma 90.00
loop_
_atom_site_label
_atom_site_type_symbol
_atom_site_fract_x
_atom_site_fract_y
_atom_site_fract_z
Ba1 Ba 0.0000 0.0000 0.0000
Mg1 Mg 0.0000 0.5000 0.2350
Hg1 Hg 0.0000 0.2034 0.3671
Hg2 Hg 0.0000 0.5000 0.0000
# **Total magnetization**: 0.00 Bohr magnetons per cell
# **Energy relative to the elements**: -206 kJ/mol of formula units
# **Calculated density**: 9.04 Mg/m³

# 6
# BaMg2Hg, relaxed, DFT PBE
data_BaMg2Hg
_space_group_name_H-M_alt 'P 4/m m m'
_space_group_IT_number 123
_space_group_name_Hall '-P 4 2'
_cell_length_a 4.8658
_cell_length_b 4.8658
_cell_length_c 5.4512
_cell_angle_alpha 90.00
_cell_angle_beta 90.00
_cell_angle_gamma 90.00
loop_
_atom_site_label
_atom_site_type_symbol
_atom_site_fract_x
_atom_site_fract_y
_atom_site_fract_z
Ba1 Ba 0.0000 0.0000 0.0000
Mg1 Mg 0.0000 0.5000 0.5000
Hg1 Hg 0.5000 0.5000 0.0000
# **Total magnetization**: 0.00 Bohr magnetons per cell
# **Energy relative to the elements**: -33 kJ/mol of formula units
# **Calculated density**: 4.97 Mg/m³

# 7
# BaMg2Hg8, relaxed, DFT PBE
data_BaMg2Hg8
_space_group_name_H-M_alt 'C 1 2/m 1'
_space_group_IT_number 12
_space_group_name_Hall '-C 2y'
_cell_length_a 16.0897
_cell_length_b 6.4750
_cell_length_c 5.6678
_cell_angle_alpha 90.00
_cell_angle_beta 96.11
_cell_angle_gamma 90.00
loop_
_atom_site_label
_atom_site_type_symbol
_atom_site_fract_x
_atom_site_fract_y
_atom_site_fract_z
Ba1 Ba 0.0000 0.0000 0.0000
Mg1 Mg 0.2485 0.5000 0.3573
Hg1 Hg 0.0961 0.5000 0.0214
Hg2 Hg 0.0974 0.2565 0.5344
Hg3 Hg 0.2188 0.0000 0.1307
# **Total magnetization**: 0.00 Bohr magnetons per cell
# **Energy above the most stable polymorph in this dataset**: 0.0 meV per atom
# **Energy relative to the elements**: -230 kJ/mol of formula units
# **Calculated density**: 10.13 Mg/m³

# 8
# BaMgHg6, relaxed, DFT PBE
data_BaMgHg6
_space_group_name_H-M_alt 'P 4/m m m'
_space_group_IT_number 123
_space_group_name_Hall '-P 4 2'
_cell_length_a 4.7465
_cell_length_b 4.7465
_cell_length_c 10.2151
_cell_angle_alpha 90.00
_cell_angle_beta 90.00
_cell_angle_gamma 90.00
loop_
_atom_site_label
_atom_site_type_symbol
_atom_site_fract_x
_atom_site_fract_y
_atom_site_fract_z
Ba1 Ba 0.0000 0.0000 0.0000
Mg1 Mg 0.0000 0.0000 0.5000
Hg1 Hg 0.0000 0.5000 0.3328
Hg2 Hg 0.5000 0.5000 0.1452
# **Total magnetization**: 0.00 Bohr magnetons per cell
# **Energy above the most stable polymorph in this dataset**: 0.0 meV per atom
# **Energy relative to the elements**: -183 kJ/mol of formula units
# **Calculated density**: 9.85 Mg/m³

# 9
# Ba3Mg2Hg, relaxed, DFT PBE
data_Ba3Mg2Hg
_space_group_name_H-M_alt 'P 4/m m m'
_space_group_IT_number 123
_space_group_name_Hall '-P 4 2'
_cell_length_a 4.2894
_cell_length_b 4.2894
_cell_length_c 13.0223
_cell_angle_alpha 90.00
_cell_angle_beta 90.00
_cell_angle_gamma 90.00
loop_
_atom_site_label
_atom_site_type_symbol
_atom_site_fract_x
_atom_site_fract_y
_atom_site_fract_z
Ba1 Ba 0.0000 0.0000 0.0000
Ba2 Ba 0.0000 0.0000 0.3432
Mg1 Mg 0.5000 0.5000 0.1673
Hg1 Hg 0.5000 0.5000 0.5000
# **Total magnetization**: 0.00 Bohr magnetons per cell
# **Energy relative to the elements**: -123 kJ/mol of formula units
# **Calculated density**: 4.58 Mg/m³

# 10
# Ba6MgHg2, relaxed, DFT PBE
data_Ba6MgHg2
_space_group_name_H-M_alt 'I m m m'
_space_group_IT_number 71
_space_group_name_Hall '-I 2 2'
_cell_length_a 11.3394
_cell_length_b 11.7983
_cell_length_c 12.7736
_cell_angle_alpha 90.00
_cell_angle_beta 90.00
_cell_angle_gamma 90.00
loop_
_atom_site_label
_atom_site_type_symbol
_atom_site_fract_x
_atom_site_fract_y
_atom_site_fract_z
Ba1 Ba 0.0000 0.1870 0.2419
Ba2 Ba 0.1920 0.5000 0.1627
Ba3 Ba 0.2153 0.3229 0.5000
Mg1 Mg 0.0000 0.0000 0.0000
Mg2 Mg 0.0000 0.0000 0.5000
Hg1 Hg 0.0000 0.3244 0.0000
Hg2 Hg 0.0000 0.5000 0.3703
# **Total magnetization**: 0.16 Bohr magnetons per cell
# **Energy relative to the elements**: -190 kJ/mol of formula units
# **Calculated density**: 4.86 Mg/m³

# 11
# BaMg11Hg, relaxed, DFT PBE
data_BaMg11Hg
_space_group_name_H-M_alt 'C 1 2/m 1'
_space_group_IT_number 12
_space_group_name_Hall '-C 2y'
_cell_length_a 5.9464
_cell_length_b 14.8528
_cell_length_c 7.9275
_cell_angle_alpha 90.00
_cell_angle_beta 110.71
_cell_angle_gamma 90.00
loop_
_atom_site_label
_atom_site_type_symbol
_atom_site_fract_x
_atom_site_fract_y
_atom_site_fract_z
Ba1 Ba 0.0000 0.0000 0.0000
Mg1 Mg 0.0000 0.0000 0.5000
Mg2 Mg 0.1049 0.3901 0.2259
Mg3 Mg 0.1709 0.1778 0.3582
Mg4 Mg 0.2500 0.2500 0.0000
Hg1 Hg 0.0000 0.5000 0.5000
# **Total magnetization**: 0.00 Bohr magnetons per cell
# **Energy relative to the elements**: -121 kJ/mol of formula units
# **Calculated density**: 3.07 Mg/m³

# 12
# Ba5MgHg6, relaxed, DFT PBE
data_Ba5MgHg6
_space_group_name_H-M_alt 'P -1'
_space_group_IT_number 2
_space_group_name_Hall '-P 1'
_cell_length_a 5.8392
_cell_length_b 8.2501
_cell_length_c 10.0112
_cell_angle_alpha 114.30
_cell_angle_beta 106.86
_cell_angle_gamma 90.07
loop_
_atom_site_label
_atom_site_type_symbol
_atom_site_fract_x
_atom_site_fract_y
_atom_site_fract_z
Ba1 Ba 0.0000 0.0000 0.0000
Ba2 Ba 0.3308 0.8299 0.6600
Ba3 Ba 0.3367 0.3364 0.6729
Mg1 Mg 0.0000 0.5000 0.0000
Hg1 Hg 0.1572 0.4215 0.3148
Hg2 Hg 0.1574 0.8939 0.3153
Hg3 Hg 0.4980 0.7484 0.9999
# **Total magnetization**: 0.00 Bohr magnetons per cell
# **Energy relative to the elements**: -515 kJ/mol of formula units
# **Calculated density**: 7.63 Mg/m³